KLaMnWO6 after structural relaxation. Source: Alexandria via LeMat-Bulk, functional PBE with a Hubbard U.

a b c (Å): 5.754 5.754 5.754
angles (deg): 60.00 60.00 60.00
Positions (direct):
O 0.739 0.261 0.261
O 0.261 0.739 0.739
Mn 0.000 0.000 0.000
La 0.750 0.750 0.750
O 0.261 0.261 0.739
O 0.739 0.261 0.739
W 0.500 0.500 0.500
O 0.261 0.739 0.261
O 0.739 0.739 0.261
K 0.250 0.250 0.250

Values from the calculation:
Its crystal system is cubic. The total magnetization comes out at 5.0 μB/f.u. The calculation puts the polymorph energy (0 for the lowest one) at 112 meV/atom.